Below is crystalline LiCdW2O8 at its relaxed geometry, with properties calculated at the PBE+U level.

POSCAR file:
```
LiCdW2O8
1.0
-1.890 5.003 -3.069
-3.180 -4.926 -1.909
-0.937 0.827 6.038
O Cd Li W
8 1 1 2
direct
0.393 0.101 0.291
0.855 0.649 0.206
0.810 0.101 0.709
0.351 0.557 0.206
0.443 0.649 0.794
0.351 0.145 0.794
0.899 0.190 0.291
0.899 0.607 0.709
0.250 0.750 0.500
0.000 0.000 0.000
0.500 0.500 0.000
0.750 0.250 0.500
```

Calculated values
As for the density of states at the Fermi level: 10.069 states/eV/cell. The value obtained for the calculated density is 5.658 g cm⁻³. As for the space-group type: I-4m2, No. 119. Its total energy is -6.30 eV per atom.